1.
Crystalline NdCuTcGe2 at its relaxed geometry, computed with GGA-PBE.

a b c (Å): 4.107 4.107 10.950
angles (deg): 90.00 90.00 90.00
Space group I-4m2 (No. 119)
Asymmetric unit:
Nd 0.000 0.000 0.000 [2 per cell]
Cu 0.000 0.500 0.250 [2 per cell]
Tc 0.000 0.500 0.750 [2 per cell]
Ge 0.000 0.000 0.377 [4 per cell]

- E: -61.00 eV for the cell shown
- Formation enthalpy at 0 K: -0.407 eV/atom

***

2.
Crystalline NdHo2Cd at its relaxed geometry, computed with GGA-PBE.

a b c (Å): 3.5937 3.5937 32.4528
angles (deg): 90.00 90.00 120.00
Space group R-3m (No. 166, hexagonal axes)
Asymmetric unit:
Nd 0.0000 0.0000 0.0000 [3 per cell]
Ho 0.0000 0.0000 0.2431 [6 per cell]
Cd 0.0000 0.0000 0.5000 [3 per cell]

- E: -45.47 eV for the cell shown
- Formation enthalpy at 0 K: -0.079 eV/atom
- Energy above the most stable polymorph in this dataset: 0.0710 eV/atom